AlFeAgF2 | PBE with a Hubbard U | relaxed

Output
The density of states at the Fermi level is 1.57 states/eV/f.u. Its symmetry is P4/mmm (123). The crystal system is tetragonal. For the total energy, the calculation gives -4.355 eV per atom.

abc: 3.7058 3.7058 5.8964
angles: 90.00 90.00 90.00
Fractional positions:
Al 0.0000 0.0000 0.0000
Fe 0.5000 0.5000 0.5000
Ag 0.0000 0.0000 0.5000
F 0.0000 0.5000 0.0000
F 0.5000 0.0000 0.0000